Here is an optimized crystal structure of RbTiGe2C from Alexandria via LeMat-Bulk. Energies are from GGA-PBE.

Geometry as CIF:
```
data_RbTiGe2C
_chemical_formula_sum 'Rb1 Ti1 Ge2 C1'
_cell_length_a 5.5817
_cell_length_b 5.5817
_cell_length_c 5.1777
_cell_angle_alpha 90.00
_cell_angle_beta 90.00
_cell_angle_gamma 90.00
_symmetry_space_group_name_H-M 'P 4/m m m'
_symmetry_Int_Tables_number 123
_symmetry_space_group_name_Hall '-P 4 2'
loop_
_atom_site_label
_atom_site_type_symbol
_atom_site_fract_x
_atom_site_fract_y
_atom_site_fract_z
Rb1 Rb 0.0000 0.0000 0.0000
Ti1 Ti 0.0000 0.0000 0.5000
Ge1 Ge 0.0000 0.5000 0.0000
C1 C 0.5000 0.5000 0.5000
```

Summary:
* size of the total moment: 3.17 μB/f.u.
* formation energy: 1537 kJ/mol of formula units
* total energy: -2.28 eV per atom